# 1
Entry from Alexandria via LeMat-Bulk: a relaxed structure of AlOs3I (GGA-PBE).

The space group is Pm-3m (No. 221) and the conventional cell measures 4.786, 4.786 and 4.786 Å, with angles of 90.00, 90.00 and 90.00 degrees. The asymmetric unit holds Al at (0.000, 0.000, 0.000), Os at (0.000, 0.500, 0.500) and I at (0.500, 0.500, 0.500).

The calculation puts the total magnetic moment at 0.00 μB per cell. The calculation puts the raw formation energy at 2.72 eV/atom. The distance to the lowest polymorph of the same formula comes out at 0.745 eV per atom. For the calculated total energy, the calculation gives -5.0730 eV per atom. The volume is 21.93 A^3/atom.

=====

# 2
Entry from Alexandria via LeMat-Bulk: a relaxed structure of Sc2AsPd (GGA-PBE).

The space group is I-42d (No. 122) and the conventional cell measures 7.168, 7.168 and 6.422 Å, with angles of 90.00, 90.00 and 90.00 degrees. The asymmetric unit holds Sc at (0.248, 0.250, 0.125), As at (0.000, 0.000, 0.500) and Pd at (0.000, 0.000, 0.000).

The calculation puts the total magnetic moment at 0.00 μB per cell. Its formation energy is -2.6 eV/f.u. For the calculated total energy, the calculation gives -6.2656 eV per atom. The volume is 20.62 A^3/atom.

=====

# 3
Entry from Alexandria via LeMat-Bulk: a relaxed structure of TaP2W (GGA-PBE).

The space group is Cm (No. 8) and the conventional cell measures 8.719, 3.162 and 4.434 Å, with angles of 90.00, 104.21 and 90.00 degrees. The asymmetric unit holds Ta at (0.000, 0.000, 0.000), P at (0.234, 0.500, 0.133), P at (0.496, 0.000, 0.491) and W at (0.224, 0.000, 0.606).

The calculation puts the total magnetic moment at 0.00 μB per cell. Its formation energy is -1.7 eV/f.u. For the calculated total energy, the calculation gives -9.3226 eV per atom. The volume is 14.81 A^3/atom.

=====

# 4
Entry from Alexandria via LeMat-Bulk: a relaxed structure of ErTm2PaSb4 (GGA-PBE).

The space group is P2/m (No. 10) and the conventional cell measures 7.526, 4.346 and 7.531 Å, with angles of 90.00, 109.37 and 90.00 degrees. The asymmetric unit holds Er at (0.000, 0.000, 0.000), Tm at (0.500, 0.000, 0.500), Tm at (0.500, 0.500, 0.000), Pa at (0.000, 0.500, 0.500), Sb at (0.252, 0.500, 0.250) and Sb at (0.254, 0.000, 0.753).

The calculation puts the total magnetic moment at 0.89 μB per cell. The calculation puts the raw formation energy at -0.91 eV/atom. For the calculated total energy, the calculation gives -5.8481 eV per atom. The volume is 29.05 A^3/atom.